Entry 1:
Compound: TaTi6Ge4
Source: the Alexandria database
Functional: PBE-GGA
Structure: optimized geometry

The structure belongs to space group I-42m (No. 121); the cell edges are 6.641, 6.641 and 9.354 Å and the angles 90.00°, 90.00° and 90.00°. Symmetry generates all atoms from Ta at (0.000, 0.000, 0.000), Ti at (0.000, 0.500, 0.000), Ti at (0.145, 0.145, 0.323) and Ge at (0.225, 0.225, 0.589).

The crystal system is tetragonal. As for the volume: 18.7 A^3/atom.

Entry 2:
Compound: Ta3TiGe
Source: the Alexandria database
Functional: PBE-GGA
Structure: optimized geometry

The structure belongs to space group Pm-3m (No. 221); the cell edges are 4.730, 4.730 and 4.730 Å and the angles 90.00°, 90.00° and 90.00°. Symmetry generates all atoms from Ta at (0.000, 0.000, 0.500), Ti at (0.500, 0.500, 0.500) and Ge at (0.000, 0.000, 0.000).

The crystal system is cubic. Its offset from the most stable computed form is 0.000 eV/atom. As for the volume: 21.2 A^3/atom.

Entry 3:
Compound: Ta3TiGe
Source: the Alexandria database
Functional: PBE-GGA
Structure: optimized geometry

The structure belongs to space group Pm-3m (No. 221); the cell edges are 4.696, 4.696 and 4.696 Å and the angles 90.00°, 90.00° and 90.00°. Symmetry generates all atoms from Ta at (0.000, 0.000, 0.500), Ti at (0.000, 0.000, 0.000) and Ge at (0.500, 0.500, 0.500).

The crystal system is cubic. Its offset from the most stable computed form is 0.459 eV/atom. As for the volume: 20.7 A^3/atom.

Entry 4:
Compound: TaTiGe
Source: the Alexandria database
Functional: PBE-GGA
Structure: optimized geometry

The structure belongs to space group I4mm (No. 107); the cell edges are 3.392, 3.392 and 8.649 Å and the angles 90.00°, 90.00° and 90.00°. Symmetry generates all atoms from Ta at (0.000, 0.000, 0.000), Ti at (0.000, 0.000, 0.325) and Ge at (0.000, 0.000, 0.664).

The crystal system is tetragonal. As for the volume: 16.6 A^3/atom.

Entry 5:
Compound: TaTiGe
Source: the Alexandria database
Functional: PBE-GGA
Structure: optimized geometry

The structure belongs to space group Cm (No. 8); the cell edges are 4.682, 3.480 and 6.483 Å and the angles 90.00°, 104.75° and 90.00°. Symmetry generates all atoms from Ta at (0.000, 0.000, 0.000), Ti at (0.358, 0.000, 0.650) and Ge at (0.183, 0.500, 0.329).

The crystal system is monoclinic. As for the volume: 17.0 A^3/atom.

Entry 6:
Compound: Ta2Ti4Ge
Source: the Alexandria database
Functional: PBE-GGA
Structure: optimized geometry

The structure belongs to space group I4/mmm (No. 139); the cell edges are 4.712, 4.712 and 12.998 Å and the angles 90.00°, 90.00° and 90.00°. Symmetry generates all atoms from Ta at (0.000, 0.000, 0.107), Ti at (0.000, 0.000, 0.309), Ti at (0.000, 0.500, 0.000) and Ge at (0.000, 0.000, 0.500).

The crystal system is tetragonal. As for the volume: 20.6 A^3/atom.

Entry 7:
Compound: Ta2TiGe6
Source: the Alexandria database
Functional: PBE-GGA
Structure: optimized geometry

The structure belongs to space group C222 (No. 21); the cell edges are 4.969, 8.627 and 6.824 Å and the angles 90.00°, 90.00° and 90.00°. Symmetry generates all atoms from Ta at (0.250, 0.250, 0.166), Ti at (0.000, 0.000, 0.500), Ge at (0.000, 0.338, 0.500) and Ge at (0.250, 0.082, 0.831).

The crystal system is orthorhombic. As for the volume: 16.3 A^3/atom.

Entry 8:
Compound: TaTiGe
Source: the Alexandria database
Functional: PBE-GGA
Structure: optimized geometry

The structure belongs to space group Pnma (No. 62); the cell edges are 11.315, 2.838 and 6.606 Å and the angles 90.00°, 90.00° and 90.00°. Symmetry generates all atoms from Ta at (0.218, 0.250, 0.112), Ti at (0.030, 0.250, 0.831) and Ge at (0.103, 0.250, 0.449).

The crystal system is orthorhombic. As for the volume: 17.7 A^3/atom.

Entry 9:
Compound: Ta3TiGe4
Source: the Alexandria database
Functional: PBE-GGA
Structure: optimized geometry

The structure belongs to space group Pmmn (No. 59, origin choice 2); the cell edges are 5.132, 8.289 and 7.569 Å and the angles 90.00°, 90.00° and 90.00°. Symmetry generates all atoms from Ta at (0.250, 0.056, 0.160), Ta at (0.250, 0.750, 0.589), Ti at (0.250, 0.250, 0.777), Ge at (0.250, 0.250, 0.439), Ge at (0.250, 0.555, 0.842) and Ge at (0.250, 0.750, 0.232).

The crystal system is orthorhombic. As for the volume: 20.1 A^3/atom.

Entry 10:
Compound: Zr2TaTiGe
Source: the Alexandria database
Functional: PBE-GGA
Structure: optimized geometry

The structure belongs to space group P4/mmm (No. 123); the cell edges are 4.950, 4.950 and 4.634 Å and the angles 90.00°, 90.00° and 90.00°. Symmetry generates all atoms from Zr at (0.000, 0.500, 0.000), Ta at (0.000, 0.000, 0.500), Ti at (0.000, 0.000, 0.000) and Ge at (0.500, 0.500, 0.500).

The crystal system is tetragonal. As for the volume: 22.7 A^3/atom.

Entry 11:
Compound: TaTlGe2
Source: the Alexandria database
Functional: PBE-GGA
Structure: optimized geometry

The structure belongs to space group I-42d (No. 122); the cell edges are 6.145, 6.145 and 12.368 Å and the angles 90.00°, 90.00° and 90.00°. Symmetry generates all atoms from Ta at (0.000, 0.000, 0.000), Tl at (0.000, 0.000, 0.500) and Ge at (0.209, 0.250, 0.125).

The crystal system is tetragonal. Its offset from the most stable computed form is 0.038 eV/atom. As for the volume: 29.2 A^3/atom.

Entry 12:
Compound: TaTlGe2
Source: the Alexandria database
Functional: PBE-GGA
Structure: optimized geometry

The structure belongs to space group Fm-3m (No. 225); the cell edges are 6.858, 6.858 and 6.858 Å and the angles 90.00°, 90.00° and 90.00°. Symmetry generates all atoms from Ta at (0.000, 0.000, 0.000), Tl at (0.000, 0.000, 0.500) and Ge at (0.250, 0.250, 0.250).

The crystal system is cubic. Its offset from the most stable computed form is 0.000 eV/atom. As for the volume: 20.2 A^3/atom.

One value per record, in order, for energy of formation: -118, 964, 1423, -321, -227, 764, -305, 76, 166, 973, 697, 660 meV/atom.